# Ce2NdPd9

An optimized crystal structure of Ce2NdPd9 (PBE-GGA, Alexandria via LeMat-Bulk).

Output
The density of states at the Fermi level comes out at 8.13 states/eV per cell. Its symmetry is P4/mmm. As for the final energy: -6.103 eV per atom. For the energy relative to the elements, the calculation gives -18.9 kcal/mol of atoms.

Lattice parameters (Å, degrees): 4.1696 4.1696 12.5044 90.00 90.00 90.00
Each line ends with the local moment (μB).
Sites, in units of the cell vectors:
Ce1 0.0000 0.0000 0.3330  0.39
Ce2 0.0000 0.0000 0.6670  0.39
Nd1 0.0000 0.0000 0.0000  0.00
Pd1 0.5000 0.5000 0.0000  0.00
Pd2 0.5000 0.5000 0.3353  -0.02
Pd3 0.5000 0.5000 0.6647  -0.02
Pd4 0.5000 0.0000 0.1718  -0.01
Pd5 0.5000 0.0000 0.5000  -0.02
Pd6 0.5000 0.0000 0.8282  -0.01
Pd7 0.0000 0.5000 0.1718  -0.01
Pd8 0.0000 0.5000 0.5000  -0.02
Pd9 0.0000 0.5000 0.8282  -0.01